Record 1
The following is a DFT calculation (GGA-PBE) of a relaxed structure of LiAc2CeSe4.

Calculated values
D(E_F) = 7.702 states/eV per cell
V = 228 Å³ per cell
energy relative to the elements, uncorrected = -13.951 eV/f.u.

Cell: 7.417 4.342 7.531 Å, 90.00 109.74 90.00°
Space group P2/m (No. 10)
Unique sites:
Li (0.000, 0.000, 0.000) x1
Ac (0.500, 0.000, 0.500) x1
Ac (0.500, 0.500, 0.000) x1
Ce (0.000, 0.500, 0.500) x1
Se (0.229, 0.500, 0.239) x2
Se (0.230, 0.000, 0.750) x2

Record 2
The following is a DFT calculation (GGA-PBE) of a relaxed structure of Li2AcCeSi2.

Calculated values
D(E_F) = 6.085 states/eV per cell
V = 137 Å³ per cell
energy relative to the elements, uncorrected = -2.752 eV/f.u.

Cell: 4.5582 4.5582 7.6335 Å, 90.00 90.00 120.00°
Space group P-3m1 (No. 164)
Unique sites:
Li (0.3333, 0.6667, 0.1994) x2
Ac (0.0000, 0.0000, 0.5000) x1
Ce (0.0000, 0.0000, 0.0000) x1
Si (0.3333, 0.6667, 0.7826) x2

Record 3
The following is a DFT calculation (GGA-PBE) of a relaxed structure of LiAcCeSi.

Calculated values
D(E_F) = 38.841 states/eV per cell
V = 422 Å³ per cell
energy relative to the elements, uncorrected = -0.590 eV/f.u.

Cell: 7.500 7.500 7.500 Å, 90.00 90.00 90.00°
Space group F-43m (No. 216)
Unique sites:
Li (0.000, 0.000, 0.000) x4
Ac (0.250, 0.250, 0.250) x4
Ce (0.250, 0.250, 0.750) x4
Si (0.000, 0.000, 0.500) x4